[1]
First-principles (PBE-GGA) data for a relaxed structure of RbCd2InF8, as listed in Alexandria.

Output
Raw formation energy (eV per atom): -2.371
SG: P2/m, No. 10
Calculated total energy (eV per cell): -48.962

Cell: 5.125 7.450 5.350 Å, 90.00 90.89 90.00°
Element x y z (fractional)
Rb  0.000  0.000  0.000
Cd  0.500  0.251  0.500
Cd  0.500  0.749  0.500
In  0.000  0.500  0.000
F  0.170  0.303  0.229
F  0.170  0.697  0.229
F  0.318  0.500  0.733
F  0.412  0.000  0.721
F  0.588  0.000  0.279
F  0.682  0.500  0.267
F  0.830  0.303  0.771
F  0.830  0.697  0.771


[2]
First-principles (PBE-GGA) data for a relaxed structure of Li3SnF, as listed in Alexandria.

Output
Raw formation energy (eV per atom): -0.241
SG: Pm-3m, No. 221
ΔE to the lowest computed polymorph (eV/atom): 1.012
Calculated total energy (eV per cell): -12.822

Cell: 5.307 5.307 5.307 Å, 90.00 90.00 90.00°
Element x y z (fractional)
Li  0.000  0.000  0.500
Li  0.000  0.500  0.000
Li  0.500  0.000  0.000
Sn  0.000  0.000  0.000
F  0.500  0.500  0.500


Number 1 is which compound? RbCd2InF8


What is the formula in the first record? RbCd2InF8


Number 2 is which compound? Li3SnF


Which of these has the lowest calculated total energy? RbCd2InF8